Entry from the Alexandria database: a relaxed structure of PO3 (GGA-PBE).

Lattice parameters (Å, degrees): 7.236 6.648 6.648 129.38 110.67 110.67
Each line ends with the local moment (μB).
Fractional positions:
P (0.250, 0.335, 0.665)  -0.03
P (0.750, 0.665, 0.335)  -0.03
O (0.250, 0.203, 0.797)  0.16
O (0.272, 0.648, 0.854)  0.36
O (0.728, 0.352, 0.146)  0.36
O (0.750, 0.797, 0.203)  0.16
O (0.772, 0.854, 0.648)  0.36
O (0.228, 0.146, 0.352)  0.36

Results
Its symmetry is C2/c. The calculation puts the formation energy (no corrections) at -1187 meV/atom.


Entry from the Alexandria database: a relaxed structure of Ca2MgTl2 (GGA-PBE).

Lattice parameters (Å, degrees): 8.468 8.468 4.142 90.00 90.00 90.00
Fractional positions:
Ca (0.165, 0.665, 0.500)
Ca (0.335, 0.165, 0.500)
Ca (0.665, 0.835, 0.500)
Ca (0.835, 0.335, 0.500)
Tl (0.864, 0.636, 0.000)
Tl (0.636, 0.136, 0.000)
Tl (0.136, 0.364, 0.000)
Tl (0.364, 0.864, 0.000)
Mg (0.500, 0.500, 0.000)
Mg (0.000, 0.000, 0.000)

Results
The energy above the lowest structure with this stoichiometry comes out at 0.000 eV/atom. Its symmetry is P4/mbm. The energy of formation comes out at -288 meV per atom.


Entry from the Alexandria database: a relaxed structure of Tb2YPa (GGA-PBE).

Lattice parameters (Å, degrees): 3.446 3.446 11.726 81.55 81.55 60.00
Fractional positions:
Y (0.667, 0.667, 0.000)
Pa (0.500, 0.500, 0.499)
Tb (0.086, 0.086, 0.741)
Tb (0.247, 0.247, 0.259)

Results
The energy above the lowest structure with this stoichiometry comes out at 0.000 eV/atom. Its symmetry is R3m. The energy of formation comes out at 121 meV per atom.


Entry from the Alexandria database: a relaxed structure of Ho2CuRh (GGA-PBE).

Lattice parameters (Å, degrees): 3.471 4.831 4.831 90.00 90.00 90.00
Fractional positions:
Ho (0.000, 0.000, 0.500)
Ho (0.000, 0.500, 0.000)
Rh (0.500, 0.500, 0.500)
Cu (0.500, 0.000, 0.000)

Results
Its symmetry is P4/mmm. The energy of formation comes out at -580 meV per atom.


Number 1: raw total energy -0.2300 hartree per atom, volume 139.5 Å³ per cell. Number 2: raw total energy -0.0865 hartree per atom, volume 297.0 Å³ per cell. Number 3: raw total energy -0.2272 hartree per atom, volume 118.8 Å³ per cell. Number 4: raw total energy -0.2106 hartree per atom, volume 81.0 Å³ per cell.